1.
# YPuBi2

A relaxed YPuBi2 crystal (GGA-PBE, Alexandria via LeMat-Bulk).

Cell lengths 3.746, 3.746, 8.335 Å; angles 90.00, 90.00, 90.00 degrees
Last column: magnetic moment on the atom in μB.
Sites, in units of the cell vectors:
Pu 0.500 0.500 0.500  5.60
Y 0.500 0.500 0.000  0.07
Bi 0.000 0.000 0.755  -0.05
Bi 0.000 0.000 0.245  -0.05

Properties
Total energy = -7.624 eV/atom
N(E_F) = 9.80 states/eV/f.u.
E_form = -0.485 eV/atom

2.
# BaLiLa2

A relaxed BaLiLa2 crystal (GGA-PBE, Alexandria via LeMat-Bulk).

Cell lengths 4.807, 4.807, 13.516 Å; angles 79.76, 79.76, 90.00 degrees
Sites, in units of the cell vectors:
La 0.375 0.417 0.750
La 0.167 0.625 0.250
La 0.875 0.833 0.750
La 0.583 0.125 0.250
Ba 0.750 0.250 0.500
Ba 0.000 0.000 0.000
Li 0.250 0.750 0.500
Li 0.500 0.500 0.000

Properties
Total energy = -3.114 eV/atom
N(E_F) = 14.29 states/eV/f.u.
E_form = 0.309 eV/atom

3.
# Sm4IrSe3

A relaxed Sm4IrSe3 crystal (GGA-PBE, Alexandria via LeMat-Bulk).

Cell lengths 4.117, 7.327, 7.327 Å; angles 108.75, 90.00, 90.00 degrees
Sites, in units of the cell vectors:
Se 0.500 0.500 0.500
Se 0.000 0.000 0.500
Se 0.000 0.500 0.000
Sm 0.500 0.241 0.759
Sm 0.500 0.759 0.241
Sm 0.000 0.771 0.771
Sm 0.000 0.229 0.229
Ir 0.500 0.000 0.000

Properties
Total energy = -6.311 eV/atom
N(E_F) = 6.69 states/eV/f.u.
Formation energy from raw total energies = -1537 meV/atom